# 1
A geometry-optimized YRhAu2 structure, computed with PBE. Values from VASP.

Properties
**Calculated formation energy**: -0.62 eV/atom
**Calculated total energy**: -5.72 eV per atom
**D(E_F)**: 1.4 states/eV/f.u.

The structure in Quantum ESPRESSO input format:
```
&SYSTEM
  ibrav = 0, nat = 8, ntyp = 3
/
ATOMIC_SPECIES
Y 88.91 Y.upf
Rh 102.91 Rh.upf
Au 196.97 Au.upf
CELL_PARAMETERS angstrom
4.239 0.000 0.000
0.000 4.239 0.000
0.000 0.000 8.388
ATOMIC_POSITIONS crystal
Y 0.000 0.000 0.000
Y 0.500 0.500 0.500
Rh 0.000 0.500 0.750
Rh 0.500 0.000 0.250
Au 0.000 0.000 0.500
Au 0.000 0.500 0.250
Au 0.500 0.000 0.750
Au 0.500 0.500 0.000
```



# 2
A geometry-optimized Zn2RhAu structure, computed with PBE. Values from VASP.

Properties
**Calculated formation energy**: -0.23 eV/atom
**Calculated total energy**: -3.52 eV per atom
**D(E_F)**: 1.7 states/eV/f.u.

The structure in Quantum ESPRESSO input format:
```
&SYSTEM
  ibrav = 0, nat = 4, ntyp = 3
/
ATOMIC_SPECIES
Zn 65.41 Zn.upf
Rh 102.91 Rh.upf
Au 196.97 Au.upf
CELL_PARAMETERS angstrom
2.890 0.000 0.000
0.000 4.154 0.000
-1.389 0.000 5.024
ATOMIC_POSITIONS crystal
Zn 0.000 0.000 0.000
Zn 0.143 0.500 0.301
Rh 0.420 0.500 0.837
Au 0.736 0.000 0.492
```



# 3
A geometry-optimized Zn2RhAu structure, computed with PBE. Values from VASP.

Properties
**Calculated formation energy**: -0.37 eV/atom
**Calculated total energy**: -3.66 eV per atom
**D(E_F)**: 0.4 states/eV/f.u.

The structure in Quantum ESPRESSO input format:
```
&SYSTEM
  ibrav = 0, nat = 4, ntyp = 3
/
ATOMIC_SPECIES
Zn 65.41 Zn.upf
Rh 102.91 Rh.upf
Au 196.97 Au.upf
CELL_PARAMETERS angstrom
4.100 0.000 0.000
0.000 4.100 0.000
0.000 0.000 3.534
ATOMIC_POSITIONS crystal
Zn 0.000 0.500 0.000
Zn 0.500 0.000 0.000
Rh 0.000 0.000 0.500
Au 0.500 0.500 0.500
```



# 4
A geometry-optimized Zn2RhAu structure, computed with PBE. Values from VASP.

Properties
**Calculated formation energy**: -0.04 eV/atom
**Calculated total energy**: -3.34 eV per atom
**D(E_F)**: 2.5 states/eV/f.u.

The structure in Quantum ESPRESSO input format:
```
&SYSTEM
  ibrav = 0, nat = 12, ntyp = 3
/
ATOMIC_SPECIES
Zn 65.41 Zn.upf
Rh 102.91 Rh.upf
Au 196.97 Au.upf
CELL_PARAMETERS angstrom
2.832 0.000 0.000
-1.416 2.453 0.000
0.000 0.000 26.967
ATOMIC_POSITIONS crystal
Zn 0.000 0.000 0.000
Zn 0.000 0.000 0.247
Zn 0.333 0.667 0.667
Zn 0.333 0.667 0.913
Zn 0.667 0.333 0.333
Zn 0.667 0.333 0.580
Rh 0.000 0.000 0.741
Rh 0.333 0.667 0.407
Rh 0.667 0.333 0.074
Au 0.000 0.000 0.496
Au 0.333 0.667 0.162
Au 0.667 0.333 0.829
```



# 5
A geometry-optimized Zn2RhAu structure, computed with PBE. Values from VASP.

Properties
**Calculated formation energy**: -0.02 eV/atom
**Calculated total energy**: -3.31 eV per atom
**D(E_F)**: 0.9 states/eV/f.u.

The structure in Quantum ESPRESSO input format:
```
&SYSTEM
  ibrav = 0, nat = 16, ntyp = 3
/
ATOMIC_SPECIES
Zn 65.41 Zn.upf
Rh 102.91 Rh.upf
Au 196.97 Au.upf
CELL_PARAMETERS angstrom
6.920 0.000 0.000
0.000 6.920 0.000
0.000 0.000 5.517
ATOMIC_POSITIONS crystal
Zn 0.242 0.750 0.125
Zn 0.250 0.242 0.875
Zn 0.250 0.258 0.375
Zn 0.258 0.750 0.625
Zn 0.742 0.250 0.625
Zn 0.750 0.742 0.375
Zn 0.750 0.758 0.875
Zn 0.758 0.250 0.125
Rh 0.000 0.000 0.000
Rh 0.000 0.500 0.250
Rh 0.500 0.000 0.750
Rh 0.500 0.500 0.500
Au 0.000 0.000 0.500
Au 0.000 0.500 0.750
Au 0.500 0.000 0.250
Au 0.500 0.500 0.000
```



# 6
A geometry-optimized Zn2RhAu2 structure, computed with PBE. Values from VASP.

Properties
**Calculated formation energy**: -0.01 eV/atom
**Calculated total energy**: -3.30 eV per atom
**Energy above the lowest structure with this stoichiometry**: 119.3 kJ/mol of formula units
**D(E_F)**: 3.7 states/eV/f.u.

The structure in Quantum ESPRESSO input format:
```
&SYSTEM
  ibrav = 0, nat = 10, ntyp = 3
/
ATOMIC_SPECIES
Zn 65.41 Zn.upf
Rh 102.91 Rh.upf
Au 196.97 Au.upf
CELL_PARAMETERS angstrom
7.494 0.000 0.000
0.000 7.494 0.000
0.000 0.000 2.912
ATOMIC_POSITIONS crystal
Zn 0.167 0.333 0.000
Zn 0.333 0.833 0.000
Zn 0.667 0.167 0.000
Zn 0.833 0.667 0.000
Rh 0.000 0.000 0.500
Rh 0.500 0.500 0.500
Au 0.135 0.635 0.500
Au 0.365 0.135 0.500
Au 0.635 0.865 0.500
Au 0.865 0.365 0.500
```



# 7
A geometry-optimized Zn4Rh2Au3 structure, computed with PBE. Values from VASP.

Properties
**Calculated formation energy**: -0.27 eV/atom
**Calculated total energy**: -3.56 eV per atom
**D(E_F)**: 2.0 states/eV/f.u.

The structure in Quantum ESPRESSO input format:
```
&SYSTEM
  ibrav = 0, nat = 9, ntyp = 3
/
ATOMIC_SPECIES
Zn 65.41 Zn.upf
Rh 102.91 Rh.upf
Au 196.97 Au.upf
CELL_PARAMETERS angstrom
3.780 -2.181 0.000
3.780 2.181 0.000
-0.010 0.000 8.352
ATOMIC_POSITIONS crystal
Zn 0.000 0.000 0.176
Zn 0.000 0.000 0.824
Zn 0.333 0.333 0.609
Zn 0.667 0.667 0.391
Rh 0.333 0.333 0.293
Rh 0.667 0.667 0.707
Au 0.000 0.000 0.500
Au 0.333 0.333 0.922
Au 0.667 0.667 0.078
```



# 8
A geometry-optimized ZnRh2Au2 structure, computed with PBE. Values from VASP.

Properties
**Calculated formation energy**: 0.14 eV/atom
**Calculated total energy**: -4.37 eV per atom
**D(E_F)**: 5.6 states/eV/f.u.

The structure in Quantum ESPRESSO input format:
```
&SYSTEM
  ibrav = 0, nat = 10, ntyp = 3
/
ATOMIC_SPECIES
Zn 65.41 Zn.upf
Rh 102.91 Rh.upf
Au 196.97 Au.upf
CELL_PARAMETERS angstrom
6.530 0.000 0.000
0.000 6.530 0.000
0.000 0.000 3.980
ATOMIC_POSITIONS crystal
Zn 0.000 0.000 0.000
Zn 0.500 0.500 0.000
Rh 0.138 0.362 0.000
Rh 0.362 0.862 0.000
Rh 0.638 0.138 0.000
Rh 0.862 0.638 0.000
Au 0.164 0.664 0.500
Au 0.336 0.164 0.500
Au 0.664 0.836 0.500
Au 0.836 0.336 0.500
```



# 9
A geometry-optimized Zn2RhAu structure, computed with PBE. Values from VASP.

Properties
**Calculated formation energy**: -0.18 eV/atom
**Calculated total energy**: -3.47 eV per atom
**D(E_F)**: 2.4 states/eV/f.u.

The structure in Quantum ESPRESSO input format:
```
&SYSTEM
  ibrav = 0, nat = 4, ntyp = 3
/
ATOMIC_SPECIES
Zn 65.41 Zn.upf
Rh 102.91 Rh.upf
Au 196.97 Au.upf
CELL_PARAMETERS angstrom
3.245 0.000 0.000
0.000 3.245 0.000
0.000 0.000 5.796
ATOMIC_POSITIONS crystal
Zn 0.000 0.000 0.000
Zn 0.500 0.500 0.258
Rh 0.500 0.500 0.800
Au 0.000 0.000 0.496
```



# 10
A geometry-optimized ZnRh4Au structure, computed with PBE. Values from VASP.

Properties
**Calculated formation energy**: 0.28 eV/atom
**Calculated total energy**: -5.38 eV per atom
**D(E_F)**: 10.6 states/eV/f.u.

The structure in Quantum ESPRESSO input format:
```
&SYSTEM
  ibrav = 0, nat = 6, ntyp = 3
/
ATOMIC_SPECIES
Zn 65.41 Zn.upf
Rh 102.91 Rh.upf
Au 196.97 Au.upf
CELL_PARAMETERS angstrom
0.000 3.633 3.633
3.633 0.000 3.633
3.633 3.633 0.000
ATOMIC_POSITIONS crystal
Zn 0.000 0.000 0.000
Rh 0.375 0.375 0.375
Rh 0.375 0.375 0.875
Rh 0.375 0.875 0.375
Rh 0.875 0.375 0.375
Au 0.750 0.750 0.750
```



# 11
A geometry-optimized Zn2Rh2Au structure, computed with PBE. Values from VASP.

Properties
**Calculated formation energy**: -0.18 eV/atom
**Calculated total energy**: -4.28 eV per atom
**Energy above the lowest structure with this stoichiometry**: 0.0 kJ/mol of formula units
**D(E_F)**: 3.4 states/eV/f.u.

The structure in Quantum ESPRESSO input format:
```
&SYSTEM
  ibrav = 0, nat = 10, ntyp = 3
/
ATOMIC_SPECIES
Zn 65.41 Zn.upf
Rh 102.91 Rh.upf
Au 196.97 Au.upf
CELL_PARAMETERS angstrom
6.959 0.000 0.000
0.000 6.959 0.000
0.000 0.000 3.100
ATOMIC_POSITIONS crystal
Zn 0.133 0.367 0.000
Zn 0.367 0.867 0.000
Zn 0.633 0.133 0.000
Zn 0.867 0.633 0.000
Rh 0.163 0.663 0.500
Rh 0.337 0.163 0.500
Rh 0.663 0.837 0.500
Rh 0.837 0.337 0.500
Au 0.000 0.000 0.000
Au 0.500 0.500 0.000
```



# 12
A geometry-optimized Zn2Rh2Au structure, computed with PBE. Values from VASP.

Properties
**Calculated formation energy**: -0.15 eV/atom
**Calculated total energy**: -4.25 eV per atom
**Energy above the lowest structure with this stoichiometry**: 14.9 kJ/mol of formula units
**D(E_F)**: 3.8 states/eV/f.u.

The structure in Quantum ESPRESSO input format:
```
&SYSTEM
  ibrav = 0, nat = 10, ntyp = 3
/
ATOMIC_SPECIES
Zn 65.41 Zn.upf
Rh 102.91 Rh.upf
Au 196.97 Au.upf
CELL_PARAMETERS angstrom
7.135 0.000 0.000
0.000 7.135 0.000
0.000 0.000 3.032
ATOMIC_POSITIONS crystal
Zn 0.165 0.335 0.000
Zn 0.335 0.835 0.000
Zn 0.665 0.165 0.000
Zn 0.835 0.665 0.000
Rh 0.133 0.633 0.500
Rh 0.367 0.133 0.500
Rh 0.633 0.867 0.500
Rh 0.867 0.367 0.500
Au 0.000 0.000 0.500
Au 0.500 0.500 0.500
```